# 1
Sr2CdSiRu | meta-GGA SCAN | PBEsol geometry

abc: 4.8747 5.7921 5.7921
angles: 90.00 90.00 90.00
Fractional positions:
1 Sr 0.0000 0.0000 0.5000
2 Sr 0.0000 0.5000 0.0000
3 Cd 0.0000 0.0000 0.0000
4 Si 0.5000 0.5000 0.5000
5 Ru 0.5000 0.0000 0.0000

Results
**Formation energy (no corrections)**: 838 meV/atom

# 2
CdSnRu3 | meta-GGA SCAN | PBEsol geometry

abc: 4.7554 4.7554 4.7554
angles: 90.00 90.00 90.00
Fractional positions:
1 Ru 0.0000 0.5000 0.0000
2 Ru 0.5000 0.0000 0.0000
3 Ru 0.0000 0.0000 0.5000
4 Cd 0.0000 0.0000 0.0000
5 Sn 0.5000 0.5000 0.5000

Results
**Energy relative to the elements**: 199 kJ/mol of atoms

# 3
Sr2CdSnRu | meta-GGA SCAN | PBEsol geometry

abc: 5.0256 5.9634 5.9634
angles: 90.00 90.00 90.00
Fractional positions:
1 Sn 0.5000 0.0000 0.0000
2 Sr 0.0000 0.5000 0.0000
3 Sr 0.0000 0.0000 0.5000
4 Ru 0.5000 0.5000 0.5000
5 Cd 0.0000 0.0000 0.0000

Results
**Energy relative to the elements**: 74 kJ/mol of atoms

# 4
Ta2CdRu | meta-GGA SCAN | PBEsol geometry

abc: 4.5543 4.5543 4.5543
angles: 60.00 60.00 60.00
Fractional positions:
1 Cd 0.5000 0.5000 0.5000
2 Ru 0.2500 0.2500 0.2500
3 Ta 0.7500 0.7500 0.7500
4 Ta 0.0000 0.0000 0.0000

Results
**Energy relative to the elements**: 22 kJ/mol of atoms

# 5
Ta2CdRu | meta-GGA SCAN | PBEsol geometry

abc: 3.9912 4.0000 4.1291
angles: 90.00 90.00 90.00
Fractional positions:
1 Cd 0.5000 0.0000 0.5000
2 Ta 0.5000 0.5000 0.0000
3 Ta 0.0000 0.0000 0.0000
4 Ru 0.0000 0.5000 0.5000

Results
**Energy relative to the elements**: 7 kJ/mol of atoms

# 6
Ta2CdRu | meta-GGA SCAN | PBEsol geometry

abc: 3.1144 3.1144 7.0799
angles: 90.00 90.00 90.00
Fractional positions:
1 Ta 0.0000 0.0000 0.9687
2 Ta 0.5000 0.5000 0.2376
3 Ru 0.5000 0.5000 0.7762
4 Cd 0.0000 0.0000 0.5175

Results
**Energy relative to the elements**: -3 kJ/mol of atoms

| no. | V (Å³ per atom) |
| --- | --- |
| 1 | 32.71 |
| 2 | 21.51 |
| 3 | 35.74 |
| 4 | 16.70 |
| 5 | 16.48 |
| 6 | 17.17 |